A crystal of KZnRh2Br relaxed with PBEsol. Source: the Alexandria database, functional meta-GGA SCAN.

a = 4.8070 Å, b = 4.8070 Å, c = 5.1610 Å
α = 90.00°, β = 90.00°, γ = 90.00°
Site moments in Bohr magnetons follow the coordinates.
Fractional positions:
Zn: 0.0000 0.0000 0.5000  0.01
Rh: 0.0000 0.5000 0.0000  1.00
Rh: 0.5000 0.0000 0.0000  1.00
K: 0.0000 0.0000 0.0000  -0.03
Br: 0.5000 0.5000 0.5000  0.09

* N(E_F): 1.30 states/eV per cell
* ΔE_f (raw): 1.7645 eV/atom
* spin magnetization: 2.1 μB/cell